Entry from Alexandria via LeMat-Bulk: a relaxed structure of LaSmOs (PBE).

Values from the calculation:
formation energy from the elements: -1.58 kcal/mol of atoms

Cell lengths 3.507, 6.947, 7.433 Å; angles 103.44, 103.62, 90.07 degrees
Space group P-1 (No. 2)
Asymmetric unit:
La: 0.125 0.065 0.249 [2 per cell]
Sm: 0.121 0.559 0.241 [2 per cell]
Os: 0.499 0.251 0.998 [2 per cell]